# 1
Below is Sr4Ac3UN8 after structural relaxation, with properties calculated at the PBE level.

Lattice parameters (Å, degrees): 13.0551 7.5889 7.5375 90.00 124.63 90.00
With the nearest neighbours (Å) after each atom.
Space group C2/m (No. 12)
Asymmetric unit:
Sr: 0.0000 0.0000 0.0000 (multiplicity 2)  2 N 2.75
Sr: 0.0000 0.5000 0.0000 (multiplicity 2)  6 N 2.75
Sr: 0.2500 0.2500 0.5000 (multiplicity 4)  6 N 2.72-2.75
Ac: 0.0000 0.0000 0.5000 (multiplicity 2)  6 N 2.62-2.69
Ac: 0.2500 0.2500 0.0000 (multiplicity 4)  6 N 2.61-2.71
U: 0.0000 0.5000 0.5000 (multiplicity 2)  4 N 2.18
N: 0.0024 0.2930 0.7026 (multiplicity 8)  1 U 2.18
N: 0.2437 0.0000 0.7569 (multiplicity 4)  3 Ac 2.61-2.62, 3 Sr 2.75
N: 0.2444 0.5000 0.7529 (multiplicity 4)  1 U 2.63, 2 Ac 2.63, 3 Sr 2.72-2.75

Calculated values
Magnetic moment = 0.9 μB per formula unit
Electronic total energy = -6.993 eV/atom

=====

# 2
Below is SmSnRh3 after structural relaxation, with properties calculated at the PBE level.

Lattice parameters (Å, degrees): 5.5831 7.6270 9.0404 90.00 90.00 90.00
With the nearest neighbours (Å) after each atom.
Space group Imma (No. 74)
Asymmetric unit:
Sm: 0.0000 0.2500 0.0127 (multiplicity 4)  5 Rh 2.78-2.97
Sn: 0.0000 0.0000 0.5000 (multiplicity 4)  6 Rh 2.66-2.69
Rh: 0.0000 0.2500 0.7056 (multiplicity 4)  2 Sn 2.66, 6 Rh 2.73-2.90, 1 Sm 2.78
Rh: 0.2500 0.0523 0.2500 (multiplicity 8)  2 Sn 2.69, 4 Rh 2.73-2.79, 2 Sm 2.97

Calculated values
Magnetic moment = 0.0 μB per formula unit
DFT formation energy = -244 kJ/mol of formula units

=====

# 3
Below is CuAsSBr2 after structural relaxation, with properties calculated at the PBE level.

Lattice parameters (Å, degrees): 5.2563 5.2563 4.8546 90.00 90.00 90.00
With the nearest neighbours (Å) after each atom.
Space group P4/mmm (No. 123)
Asymmetric unit:
Cu: 0.0000 0.0000 0.0000 (multiplicity 1)  8 Br 3.58, 4 As 3.72
As: 0.5000 0.5000 0.0000 (multiplicity 1)  2 S 2.43
S: 0.5000 0.5000 0.5000 (multiplicity 1)  2 As 2.43, 4 Br 2.63
Br: 0.0000 0.5000 0.5000 (multiplicity 2)  2 S 2.63

Calculated values
Magnetic moment = 1.0 μB per formula unit
Electronic total energy = -2.416 eV/atom

=====

# 4
Below is KFeSe2Br after structural relaxation, with properties calculated at the PBE level.

Lattice parameters (Å, degrees): 4.6278 4.6278 5.8199 90.00 90.00 90.00
With the nearest neighbours (Å) after each atom.
Space group P4/mmm (No. 123)
Asymmetric unit:
K: 0.0000 0.0000 0.0000 (multiplicity 1)  4 Br 3.27
Fe: 0.5000 0.5000 0.5000 (multiplicity 1)  4 Se 2.31
Se: 0.0000 0.5000 0.5000 (multiplicity 2)  2 Fe 2.31
Br: 0.5000 0.5000 0.0000 (multiplicity 1)  2 Fe 2.91

Calculated values
Magnetic moment = 0.0 μB per formula unit
Electronic total energy = -4.001 eV/atom

=====

# 5
Below is FeSb6Pt after structural relaxation, with properties calculated at the PBE level.

Lattice parameters (Å, degrees): 13.1320 9.2786 9.3055 90.00 134.82 90.00
With the nearest neighbours (Å) after each atom.
Space group C2/m (No. 12)
Asymmetric unit:
Fe: 0.2500 0.2500 0.0000 (multiplicity 4)  6 Sb 2.53-2.56
Sb: 0.0104 0.1567 0.8482 (multiplicity 8)  1 Fe 2.53, 1 Pt 2.71
Sb: 0.1497 0.5000 0.3008 (multiplicity 4)  2 Pt 2.67, 1 Sb 2.91
Sb: 0.1558 0.3372 0.6664 (multiplicity 8)  1 Fe 2.53, 1 Pt 2.70
Sb: 0.1756 0.5000 0.0152 (multiplicity 4)  2 Fe 2.56
Pt: 0.2500 0.2500 0.5000 (multiplicity 4)  6 Sb 2.67-2.71

Calculated values
Magnetic moment = 0.0 μB per formula unit
Electronic total energy = -5.151 eV/atom

=====

# 6
Below is Li2GaO2 after structural relaxation, with properties calculated at the PBE level.

Lattice parameters (Å, degrees): 9.9516 3.5577 6.7841 90.00 115.93 90.00
With the nearest neighbours (Å) after each atom.
Space group C2/m (No. 12)
Asymmetric unit:
Li: 0.0107 0.0000 0.1905 (multiplicity 4)  4 O 1.93-2.10
Li: 0.1700 0.5000 0.0069 (multiplicity 4)  4 O 1.92-2.03
Ga: 0.1681 0.5000 0.5876 (multiplicity 4)  3 O 1.92-1.99
O: 0.0148 0.5000 0.6973 (multiplicity 4)  2 Ga 1.97-1.99, 3 Li 1.99
O: 0.1770 0.0000 0.1163 (multiplicity 4)  5 Li 1.92-2.10, 1 Ga 1.92

Calculated values
Magnetic moment = 0.0 μB per formula unit
Electronic total energy = -4.997 eV/atom

=====

# 7
Below is BaCdCl3 after structural relaxation, with properties calculated at the PBE level.

Lattice parameters (Å, degrees): 5.4076 5.4076 5.4076 90.00 90.00 90.00
With the nearest neighbours (Å) after each atom.
Space group Pm-3m (No. 221)
Asymmetric unit:
Ba: 0.0000 0.0000 0.0000 (multiplicity 1)  12 Cl 3.82
Cd: 0.5000 0.5000 0.5000 (multiplicity 1)  6 Cl 2.70
Cl: 0.0000 0.5000 0.5000 (multiplicity 3)  2 Cd 2.70

Calculated values
Magnetic moment = 0.0 μB per formula unit
Electronic total energy = -3.053 eV/atom

=====

# 8
Below is SrS after structural relaxation, with properties calculated at the PBE level.

Lattice parameters (Å, degrees): 9.5566 12.7341 12.7937 90.00 90.00 90.00
With the nearest neighbours (Å) after each atom.
Space group Fddd (No. 70, origin choice 2)
Asymmetric unit:
Sr: 0.1250 0.1250 0.2836 (multiplicity 16)  4 S 2.88-2.91
S: 0.1250 0.2886 0.1250 (multiplicity 16)  4 Sr 2.88-2.91

Calculated values
Magnetic moment = 0.0 μB per formula unit
Electronic total energy = -4.714 eV/atom

=====

# 9
Below is Cs4Nd3BiO8 after structural relaxation, with properties calculated at the PBE level.

Lattice parameters (Å, degrees): 7.4069 7.4069 20.8595 90.00 90.00 120.00
With the nearest neighbours (Å) after each atom.
Space group R-3m (No. 166, hexagonal axes)
Asymmetric unit:
Cs: 0.0000 0.0000 0.0000 (multiplicity 3)  6 O 3.10
Cs: 0.0000 0.5000 0.0000 (multiplicity 9)  6 O 3.13-3.14
Nd: 0.0000 0.5000 0.5000 (multiplicity 9)  6 O 2.44
Bi: 0.0000 0.0000 0.5000 (multiplicity 3)  6 O 2.48
O: 0.0000 0.0000 0.2230 (multiplicity 6)  3 Nd 2.44
O: 0.0041 0.5020 0.7756 (multiplicity 18)  2 Nd 2.44, 1 Bi 2.48

Calculated values
Magnetic moment = 0.0 μB per formula unit
Electronic total energy = -6.020 eV/atom

=====

# 10
Below is BaLa4Pb after structural relaxation, with properties calculated at the PBE level.

Lattice parameters (Å, degrees): 9.6942 9.6942 9.6942 90.00 90.00 90.00
With the nearest neighbours (Å) after each atom.
Space group F-43m (No. 216)
Asymmetric unit:
Ba: 0.0000 0.0000 0.0000 (multiplicity 4)  12 La 4.03, 4 Pb 4.20
La: 0.1218 0.1218 0.6218 (multiplicity 16)  6 La 3.34-3.52
Pb: 0.2500 0.2500 0.2500 (multiplicity 4)  12 La 4.01, 4 Ba 4.20

Calculated values
Magnetic moment = 0.0 μB per formula unit
DFT formation energy = 64 kJ/mol of formula units

=====

# 11
Below is AlTlRu after structural relaxation, with properties calculated at the PBE level.

Lattice parameters (Å, degrees): 3.1063 3.1063 6.6321 90.00 90.00 120.00
With the nearest neighbours (Å) after each atom.
Space group P3m1 (No. 156)
Asymmetric unit:
Al: 0.0000 0.0000 0.0000 (multiplicity 1)  3 Ru 2.49
Tl: 0.3333 0.6667 0.6089 (multiplicity 1)  3 Ru 2.92, 6 Tl 3.11, 3 Al 3.15
Ru: 0.6667 0.3333 0.2608 (multiplicity 1)  3 Al 2.49

Calculated values
Magnetic moment = 0.0 μB per formula unit
DFT formation energy = 56 kJ/mol of formula units

=====

# 12
Below is Rb2TlPbBr6 after structural relaxation, with properties calculated at the PBE level.

Lattice parameters (Å, degrees): 8.0154 8.4459 14.0492 90.00 124.57 90.00
With the nearest neighbours (Å) after each atom.
Space group P2_1/c (No. 14)
Asymmetric unit:
Rb: 0.2245 0.0740 0.2498 (multiplicity 4)  6 Br 3.53-3.73
Tl: 0.0000 0.0000 0.5000 (multiplicity 2)  6 Br 3.02-3.06
Pb: 0.5000 0.0000 0.0000 (multiplicity 2)  6 Br 2.99-3.01
Br: 0.1479 0.1987 0.9492 (multiplicity 4)  1 Pb 3.00, 1 Tl 3.06
Br: 0.2544 0.7035 0.9494 (multiplicity 4)  1 Pb 3.01, 1 Tl 3.04
Br: 0.3491 0.0245 0.7513 (multiplicity 4)  1 Pb 2.99, 1 Tl 3.02

Calculated values
Magnetic moment = 0.0 μB per formula unit
Electronic total energy = -2.962 eV/atom